(1)
# Zr2IrOs

A PBEsol-optimized structure of Zr2IrOs (meta-GGA SCAN, Alexandria via LeMat-Bulk).

a b c (Å): 6.345 6.685 3.250
angles (deg): 90.00 90.00 90.00
Space group Cmmm (No. 65)
Unique sites:
Zr 0.250 0.250 0.000 [4 per cell]
Ir 0.000 0.000 0.500 [2 per cell]
Os 0.000 0.500 0.500 [2 per cell]

E_form ... -83 kJ per mole of atoms
Spin magnetization ... 0.0 μB per cell
Energy above the lowest structure with this stoichiometry ... 0 kJ/mol of formula units

***

(2)
# ZrIrOs2

A PBEsol-optimized structure of ZrIrOs2 (meta-GGA SCAN, Alexandria via LeMat-Bulk).

a b c (Å): 4.773 2.815 4.784
angles (deg): 90.00 108.34 90.00
Space group P2/m (No. 10)
Unique sites:
Zr 0.000 0.000 0.000 [1 per cell]
Ir 0.000 0.500 0.500 [1 per cell]
Os 0.500 0.000 0.500 [1 per cell]
Os 0.500 0.500 0.000 [1 per cell]

E_form ... -23 kJ per mole of atoms
Spin magnetization ... 0.0 μB per cell
Energy above the lowest structure with this stoichiometry ... 0 kJ/mol of formula units

***

(3)
# ZrIrOs2

A PBEsol-optimized structure of ZrIrOs2 (meta-GGA SCAN, Alexandria via LeMat-Bulk).

a b c (Å): 3.916 3.916 8.019
angles (deg): 90.00 90.00 90.00
Space group I4/mmm (No. 139)
Unique sites:
Zr 0.000 0.000 0.000 [2 per cell]
Ir 0.000 0.000 0.500 [2 per cell]
Os 0.000 0.500 0.250 [4 per cell]

E_form ... -22 kJ per mole of atoms
Spin magnetization ... 0.0 μB per cell
Energy above the lowest structure with this stoichiometry ... 7 kJ/mol of formula units

***

(4)
# PIr

A PBEsol-optimized structure of PIr (meta-GGA SCAN, Alexandria via LeMat-Bulk).

a b c (Å): 2.813 4.327 8.968
angles (deg): 90.00 90.00 90.00
Space group Imma (No. 74)
Unique sites:
P 0.000 0.250 0.118 [4 per cell]
Ir 0.000 0.250 0.606 [4 per cell]

E_form ... 23 kJ per mole of atoms
Spin magnetization ... 0.0 μB per cell

***

(5)
# P5Ir4

A PBEsol-optimized structure of P5Ir4 (meta-GGA SCAN, Alexandria via LeMat-Bulk).

a b c (Å): 7.430 7.430 4.664
angles (deg): 90.00 90.00 90.00
Space group I4/mmm (No. 139)
Unique sites:
P 0.000 0.000 0.000 [2 per cell]
P 0.174 0.174 0.500 [8 per cell]
Ir 0.000 0.305 0.000 [8 per cell]

E_form ... 47 kJ per mole of atoms
Spin magnetization ... 0.0 μB per cell

***

(6)
# P2Ir

A PBEsol-optimized structure of P2Ir (meta-GGA SCAN, Alexandria via LeMat-Bulk).

a b c (Å): 5.736 5.786 5.849
angles (deg): 90.00 111.48 90.00
Space group P2_1/c (No. 14)
Unique sites:
P 0.158 0.120 0.373 [4 per cell]
P 0.334 0.624 0.690 [4 per cell]
Ir 0.272 0.000 0.793 [4 per cell]

E_form ... -83 kJ per mole of atoms
Spin magnetization ... 0.0 μB per cell

***

(7)
# P3Ir

A PBEsol-optimized structure of P3Ir (meta-GGA SCAN, Alexandria via LeMat-Bulk).

a b c (Å): 3.813 3.813 3.813
angles (deg): 90.00 90.00 90.00
Space group Pm-3m (No. 221)
Unique sites:
P 0.000 0.000 0.500 [3 per cell]
Ir 0.500 0.500 0.500 [1 per cell]

E_form ... 79 kJ per mole of atoms
Spin magnetization ... 0.0 μB per cell
Energy above the lowest structure with this stoichiometry ... 618 kJ/mol of formula units

***

(8)
# P3Ir

A PBEsol-optimized structure of P3Ir (meta-GGA SCAN, Alexandria via LeMat-Bulk).

a b c (Å): 8.011 8.011 8.011
angles (deg): 90.00 90.00 90.00
Space group Im-3 (No. 204)
Unique sites:
P 0.000 0.140 0.354 [24 per cell]
Ir 0.250 0.250 0.250 [8 per cell]

E_form ... -75 kJ per mole of atoms
Spin magnetization ... 0.0 μB per cell
Energy above the lowest structure with this stoichiometry ... 0 kJ/mol of formula units

***

(9)
# PIr

A PBEsol-optimized structure of PIr (meta-GGA SCAN, Alexandria via LeMat-Bulk).

a b c (Å): 2.908 10.320 3.677
angles (deg): 90.00 90.00 90.00
Space group Cmcm (No. 63)
Unique sites:
P 0.000 0.163 0.250 [4 per cell]
Ir 0.000 0.396 0.250 [4 per cell]

E_form ... -19 kJ per mole of atoms
Spin magnetization ... 0.0 μB per cell

***

(10)
# P3Ir

A PBEsol-optimized structure of P3Ir (meta-GGA SCAN, Alexandria via LeMat-Bulk).

a b c (Å): 4.613 4.613 4.613
angles (deg): 90.00 90.00 90.00
Space group Pm-3m (No. 221)
Unique sites:
P 0.000 0.000 0.500 [3 per cell]
Ir 0.000 0.000 0.000 [1 per cell]

E_form ... 116 kJ per mole of atoms
Spin magnetization ... 0.0 μB per cell
Energy above the lowest structure with this stoichiometry ... 764 kJ/mol of formula units

***

(11)
# P2Ir

A PBEsol-optimized structure of P2Ir (meta-GGA SCAN, Alexandria via LeMat-Bulk).

a b c (Å): 5.672 5.672 5.672
angles (deg): 90.00 90.00 90.00
Space group Fm-3m (No. 225)
Unique sites:
P 0.250 0.250 0.250 [8 per cell]
Ir 0.000 0.000 0.000 [4 per cell]

E_form ... -33 kJ per mole of atoms
Spin magnetization ... 0.0 μB per cell

***

(12)
# P3Ir

A PBEsol-optimized structure of P3Ir (meta-GGA SCAN, Alexandria via LeMat-Bulk).

a b c (Å): 3.532 3.550 4.902
angles (deg): 90.00 90.00 90.00
Space group Pmm2 (No. 25)
Unique sites:
P 0.000 0.000 0.000 [1 per cell]
P 0.000 0.500 0.342 [1 per cell]
P 0.500 0.500 0.684 [1 per cell]
Ir 0.500 0.000 0.342 [1 per cell]

E_form ... 32 kJ per mole of atoms
Spin magnetization ... 0.0 μB per cell
Energy above the lowest structure with this stoichiometry ... 430 kJ/mol of formula units